A.
Entry from Alexandria: a geometry-optimized Li8Mn7FeB8O24 structure (GGA+U).

a = 5.227 Å, b = 5.235 Å, c = 20.183 Å
α = 90.98°, β = 90.92°, γ = 119.17°
Last column: magnetic moment on the atom in μB.
Positions (direct):
Li  0.342  0.324  0.669  0.00
Li  0.323  0.341  0.918  0.00
Li  0.346  0.325  0.168  0.00
Li  0.325  0.345  0.418  0.00
Li  0.661  0.651  0.794  0.00
Li  0.654  0.663  0.544  0.00
Li  0.665  0.656  0.292  0.00
Li  0.652  0.662  0.041  0.00
Mn  0.989  0.328  0.559  -0.94
Mn  0.987  0.328  0.059  -0.95
Mn  0.009  0.675  0.933  0.94
Mn  0.008  0.677  0.435  0.95
Mn  0.676  0.007  0.685  2.81
Mn  0.677  0.009  0.183  0.94
Mn  0.330  0.990  0.309  -0.95
Fe  0.327  0.989  0.808  -0.01
B  0.661  0.999  0.935  0.00
B  0.660  0.998  0.437  0.01
B  0.996  0.334  0.812  0.00
B  0.998  0.336  0.311  -0.01
B  0.997  0.660  0.688  0.01
B  0.001  0.664  0.186  0.00
B  0.336  0.998  0.563  -0.01
B  0.333  0.996  0.061  0.00
O  0.746  0.077  0.789  0.00
O  0.754  0.080  0.288  -0.01
O  0.924  0.250  0.954  0.01
O  0.422  0.027  0.913  0.01
O  0.924  0.250  0.454  0.00
O  0.421  0.026  0.414  0.00
O  0.973  0.582  0.829  -0.01
O  0.353  0.268  0.569  0.01
O  0.967  0.580  0.330  -0.01
O  0.351  0.267  0.067  0.01
O  0.264  0.345  0.818  0.01
O  0.269  0.354  0.318  0.01
O  0.723  0.633  0.694  0.02
O  0.727  0.639  0.192  0.00
O  0.637  0.726  0.942  0.00
O  0.029  0.424  0.665  0.01
O  0.636  0.725  0.444  -0.01
O  0.030  0.424  0.164  0.01
O  0.581  0.967  0.581  -0.01
O  0.577  0.964  0.079  -0.01
O  0.079  0.752  0.539  0.00
O  0.076  0.751  0.038  -0.01
O  0.248  0.927  0.705  0.01
O  0.252  0.927  0.204  0.01

Total moment (μB/f.u.): 3.00
Calculated volume (Å³/atom): 10.04



B.
Entry from Alexandria: a geometry-optimized Li8Mn7FeB8O24 structure (GGA+U).

a = 5.951 Å, b = 9.016 Å, c = 9.821 Å
α = 81.61°, β = 80.09°, γ = 77.33°
Last column: magnetic moment on the atom in μB.
Positions (direct):
Li  0.977  0.965  0.708  0.00
Li  0.720  0.468  0.953  0.00
Li  0.776  0.535  0.546  0.00
Li  0.474  0.967  0.206  0.00
Li  0.526  0.033  0.794  0.00
Li  0.225  0.465  0.456  0.00
Li  0.280  0.534  0.044  0.00
Li  0.024  0.033  0.293  0.00
Mn  0.776  0.797  0.977  4.63
Mn  0.970  0.703  0.272  4.63
Mn  0.718  0.203  0.521  4.63
Mn  0.526  0.301  0.230  2.81
Mn  0.283  0.795  0.480  4.63
Mn  0.031  0.297  0.728  4.63
Mn  0.221  0.203  0.023  4.63
Fe  0.471  0.702  0.771  1.91
B  0.985  0.366  0.278  0.01
B  0.735  0.865  0.530  0.02
B  0.766  0.135  0.973  0.02
B  0.484  0.368  0.777  0.02
B  0.517  0.634  0.222  0.02
B  0.233  0.864  0.026  0.02
B  0.265  0.133  0.472  0.02
B  0.016  0.635  0.723  0.01
O  0.910  0.863  0.416  0.04
O  0.828  0.640  0.830  0.01
O  0.887  0.256  0.941  0.04
O  0.934  0.480  0.364  0.03
O  0.687  0.982  0.614  0.02
O  0.814  0.020  0.888  0.03
O  0.857  0.248  0.304  0.01
O  0.613  0.745  0.563  0.03
O  0.660  0.365  0.663  0.04
O  0.407  0.862  0.911  0.03
O  0.636  0.756  0.192  0.04
O  0.432  0.484  0.861  0.02
O  0.568  0.520  0.135  0.02
O  0.364  0.246  0.809  0.04
O  0.591  0.137  0.087  0.04
O  0.342  0.634  0.337  0.04
O  0.386  0.253  0.441  0.02
O  0.146  0.751  0.698  0.01
O  0.187  0.980  0.111  0.03
O  0.313  0.017  0.387  0.03
O  0.067  0.520  0.636  0.02
O  0.111  0.744  0.059  0.04
O  0.171  0.361  0.169  0.02
O  0.090  0.135  0.586  0.04

Total moment (μB/f.u.): 35.00
Calculated volume (Å³/atom): 10.49



The most stable arrangement is B, and the next structure is 364 meV/atom less stable.



A.
Entry from Alexandria: a geometry-optimized Li8Mn7FeB8O24 structure (GGA+U).

a = 5.236 Å, b = 9.112 Å, c = 10.335 Å
α = 88.37°, β = 89.17°, γ = 89.43°
Last column: magnetic moment on the atom in μB.
Positions (direct):
Li  0.151  0.175  0.666  0.00
Li  0.186  0.163  0.167  0.00
Li  0.321  0.331  0.420  0.00
Li  0.334  0.330  0.912  0.00
Li  0.650  0.673  0.670  0.00
Li  0.686  0.659  0.164  0.00
Li  0.819  0.829  0.421  0.00
Li  0.838  0.824  0.912  0.00
Mn  0.167  0.840  0.631  0.95
Mn  0.328  0.663  0.384  4.62
Mn  0.330  0.000  0.881  -4.62
Mn  0.666  0.339  0.634  -2.81
Mn  0.676  0.998  0.133  4.62
Mn  0.830  0.164  0.385  -4.62
Mn  0.833  0.494  0.882  0.94
Fe  0.183  0.500  0.130  3.76
B  0.169  0.828  0.125  0.01
B  0.157  0.501  0.630  0.00
B  0.337  0.998  0.379  0.00
B  0.329  0.668  0.874  0.01
B  0.673  0.331  0.124  0.01
B  0.661  0.000  0.628  -0.01
B  0.838  0.497  0.378  0.01
B  0.826  0.168  0.873  -0.01
O  0.096  0.480  0.343  0.03
O  0.088  0.183  0.862  -0.02
O  0.179  0.791  0.839  -0.02
O  0.194  0.877  0.424  0.02
O  0.225  0.135  0.362  -0.02
O  0.210  0.539  0.918  0.01
O  0.268  0.365  0.613  -0.03
O  0.284  0.964  0.096  0.01
O  0.297  0.627  0.597  0.01
O  0.317  0.708  0.167  0.04
O  0.410  0.320  0.110  0.03
O  0.407  0.017  0.667  -0.02
O  0.596  0.979  0.347  0.00
O  0.591  0.676  0.863  -0.01
O  0.668  0.288  0.838  0.02
O  0.699  0.377  0.427  -0.01
O  0.723  0.633  0.361  0.02
O  0.719  0.037  0.917  0.00
O  0.793  0.464  0.090  0.02
O  0.770  0.862  0.615  -0.01
O  0.807  0.125  0.598  -0.02
O  0.816  0.211  0.168  0.00
O  0.909  0.814  0.109  0.02
O  0.905  0.515  0.674  -0.01

Total moment (μB/f.u.): 3.00
Calculated volume (Å³/atom): 10.27



B.
Entry from Alexandria: a geometry-optimized Li8Mn7FeB8O24 structure (GGA+U).

a = 5.250 Å, b = 9.070 Å, c = 11.150 Å
α = 108.65°, β = 90.09°, γ = 91.19°
Last column: magnetic moment on the atom in μB.
Positions (direct):
Li  0.844  0.384  0.163  0.00
Li  0.158  0.116  0.342  0.00
Li  0.343  0.883  0.163  0.00
Li  0.657  0.617  0.342  0.00
Li  0.345  0.382  0.659  0.00
Li  0.655  0.118  0.836  0.00
Li  0.844  0.882  0.657  0.00
Li  0.156  0.617  0.840  0.00
Mn  0.326  0.202  0.122  4.63
Mn  0.825  0.701  0.123  4.63
Mn  0.679  0.298  0.378  2.81
Mn  0.826  0.199  0.617  4.63
Mn  0.177  0.796  0.378  -0.94
Mn  0.325  0.700  0.618  4.63
Mn  0.676  0.802  0.880  4.63
Fe  0.165  0.299  0.880  3.76
B  0.826  0.037  0.135  0.01
B  0.325  0.536  0.133  0.02
B  0.175  0.463  0.370  0.01
B  0.325  0.035  0.627  0.02
B  0.673  0.962  0.369  0.01
B  0.827  0.536  0.628  0.01
B  0.674  0.464  0.870  0.02
B  0.174  0.967  0.868  0.02
O  0.085  0.027  0.150  0.03
O  0.710  0.182  0.170  0.02
O  0.173  0.400  0.085  0.04
O  0.583  0.525  0.149  0.03
O  0.821  0.099  0.412  0.02
O  0.290  0.319  0.340  0.04
O  0.209  0.681  0.168  0.02
O  0.675  0.902  0.088  0.04
O  0.916  0.474  0.352  0.02
O  0.583  0.026  0.647  0.03
O  0.326  0.600  0.413  0.01
O  0.794  0.819  0.339  0.03
O  0.210  0.180  0.659  0.04
O  0.677  0.399  0.580  0.01
O  0.414  0.970  0.352  0.00
O  0.084  0.526  0.649  0.03
O  0.324  0.105  0.913  0.04
O  0.796  0.321  0.839  0.04
O  0.710  0.680  0.661  0.04
O  0.175  0.899  0.580  0.02
O  0.415  0.469  0.851  0.02
O  0.821  0.602  0.915  0.04
O  0.290  0.823  0.838  0.04
O  0.916  0.976  0.849  0.03

Total moment (μB/f.u.): 31.00
Calculated volume (Å³/atom): 10.48



The most stable arrangement is B, and the next structure is 57 meV/atom less stable.



A.
Entry from Alexandria: a geometry-optimized Li8Mn7FeB8O24 structure (GGA+U).

a = 5.252 Å, b = 5.940 Å, c = 16.282 Å
α = 81.32°, β = 89.09°, γ = 89.09°
Last column: magnetic moment on the atom in μB.
Positions (direct):
Li  0.845  0.072  0.386  0.00
Li  0.157  0.431  0.112  0.00
Li  0.655  0.174  0.864  0.00
Li  0.344  0.316  0.639  0.00
Li  0.657  0.690  0.358  0.00
Li  0.344  0.821  0.138  0.00
Li  0.841  0.567  0.890  0.00
Li  0.155  0.931  0.611  0.00
Mn  0.675  0.282  0.042  4.63
Mn  0.174  0.025  0.791  4.63
Mn  0.327  0.223  0.460  4.63
Mn  0.174  0.539  0.288  4.63
Mn  0.825  0.466  0.711  4.63
Mn  0.675  0.781  0.539  4.63
Mn  0.319  0.710  0.961  2.81
Fe  0.822  0.970  0.209  0.00
B  0.325  0.042  0.295  0.01
B  0.827  0.285  0.547  0.02
B  0.677  0.467  0.202  0.01
B  0.174  0.211  0.954  0.01
B  0.826  0.786  0.049  0.02
B  0.326  0.530  0.798  0.02
B  0.174  0.718  0.451  0.02
B  0.673  0.961  0.703  0.02
O  0.585  0.018  0.307  0.02
O  0.179  0.177  0.342  0.04
O  0.713  0.169  0.489  0.04
O  0.292  0.341  0.007  0.01
O  0.788  0.077  0.761  0.04
O  0.827  0.321  0.161  0.02
O  0.322  0.066  0.911  0.02
O  0.085  0.264  0.561  0.03
O  0.419  0.488  0.188  0.03
O  0.916  0.234  0.940  0.03
O  0.675  0.419  0.593  0.04
O  0.210  0.411  0.742  0.04
O  0.793  0.599  0.255  0.02
O  0.327  0.585  0.406  0.04
O  0.085  0.761  0.062  0.02
O  0.584  0.507  0.813  0.03
O  0.916  0.739  0.437  0.03
O  0.680  0.922  0.095  0.02
O  0.174  0.665  0.844  0.02
O  0.203  0.925  0.239  0.01
O  0.708  0.668  0.993  0.04
O  0.288  0.835  0.509  0.04
O  0.823  0.827  0.657  0.04
O  0.414  0.983  0.689  0.03

Total moment (μB/f.u.): 33.00
Calculated volume (Å³/atom): 10.46



B.
Entry from Alexandria: a geometry-optimized Li8Mn7FeB8O24 structure (GGA+U).

a = 5.239 Å, b = 9.115 Å, c = 10.390 Å
α = 88.24°, β = 89.10°, γ = 89.75°
Last column: magnetic moment on the atom in μB.
Positions (direct):
Li  0.147  0.174  0.667  0.00
Li  0.185  0.160  0.168  0.00
Li  0.316  0.331  0.417  0.00
Li  0.342  0.323  0.917  0.00
Li  0.648  0.674  0.668  0.00
Li  0.689  0.661  0.166  0.00
Li  0.819  0.833  0.418  0.00
Li  0.839  0.827  0.917  0.00
Mn  0.177  0.498  0.131  4.62
Mn  0.159  0.837  0.636  4.63
Mn  0.332  0.666  0.383  4.63
Mn  0.337  0.995  0.882  -2.80
Mn  0.660  0.340  0.634  4.63
Mn  0.677  0.000  0.133  -4.62
Mn  0.823  0.166  0.384  0.95
Fe  0.826  0.500  0.883  3.76
B  0.174  0.829  0.122  0.00
B  0.158  0.501  0.627  0.02
B  0.332  0.998  0.377  0.01
B  0.328  0.663  0.876  0.01
B  0.672  0.329  0.128  0.01
B  0.656  0.002  0.627  0.01
B  0.838  0.499  0.375  0.02
B  0.835  0.168  0.876  -0.01
O  0.098  0.483  0.344  0.04
O  0.096  0.177  0.861  -0.02
O  0.177  0.786  0.846  0.02
O  0.192  0.877  0.421  0.04
O  0.216  0.134  0.362  -0.01
O  0.215  0.531  0.916  0.04
O  0.264  0.364  0.611  0.03
O  0.289  0.964  0.087  -0.01
O  0.307  0.626  0.597  0.04
O  0.324  0.712  0.165  0.03
O  0.412  0.313  0.112  0.01
O  0.406  0.017  0.675  0.03
O  0.591  0.982  0.344  0.00
O  0.592  0.675  0.864  0.03
O  0.684  0.291  0.846  0.03
O  0.696  0.377  0.417  0.02
O  0.725  0.636  0.361  0.02
O  0.720  0.037  0.918  -0.02
O  0.786  0.464  0.094  0.04
O  0.764  0.864  0.613  0.02
O  0.797  0.127  0.590  0.02
O  0.821  0.212  0.174  -0.01
O  0.913  0.815  0.110  -0.01
O  0.906  0.518  0.668  0.04

Total moment (μB/f.u.): 17.00
Calculated volume (Å³/atom): 10.33



C.
Entry from Alexandria: a geometry-optimized Li8Mn7FeB8O24 structure (GGA+U).

a = 5.232 Å, b = 9.131 Å, c = 11.402 Å
α = 112.10°, β = 102.58°, γ = 89.51°
Last column: magnetic moment on the atom in μB.
Positions (direct):
Li  0.029  0.039  0.421  0.00
Li  0.294  0.286  0.916  0.00
Li  0.485  0.507  0.667  0.00
Li  0.270  0.246  0.167  0.00
Li  0.530  0.540  0.416  0.00
Li  0.794  0.783  0.913  0.00
Li  0.980  0.005  0.662  0.00
Li  0.769  0.744  0.168  0.00
Mn  0.024  0.356  0.385  4.62
Mn  0.270  0.938  0.880  -4.62
Mn  0.483  0.156  0.633  -2.77
Mn  0.239  0.570  0.133  2.84
Mn  0.516  0.856  0.383  -0.95
Mn  0.745  0.066  0.134  -4.62
Mn  0.983  0.654  0.630  -0.95
Fe  0.764  0.441  0.884  3.75
B  0.023  0.686  0.376  0.00
B  0.263  0.604  0.877  0.01
B  0.236  0.893  0.128  -0.01
B  0.472  0.812  0.623  -0.01
B  0.529  0.186  0.379  0.00
B  0.766  0.105  0.873  -0.01
B  0.733  0.393  0.126  0.01
B  0.974  0.315  0.629  0.00
O  0.022  0.111  0.860  -0.02
O  0.095  0.707  0.839  -0.01
O  0.170  0.501  0.925  0.01
O  0.076  0.170  0.614  -0.03
O  0.102  0.425  0.599  0.01
O  0.238  0.848  0.665  -0.03
O  0.263  0.650  0.338  -0.02
O  0.521  0.607  0.865  0.03
O  0.597  0.212  0.840  0.02
O  0.412  0.087  0.424  0.01
O  0.408  0.315  0.364  0.02
O  0.676  0.995  0.916  -0.04
O  0.334  0.011  0.095  -0.04
O  0.578  0.669  0.612  0.01
O  0.597  0.920  0.589  -0.01
O  0.407  0.798  0.174  0.01
O  0.465  0.372  0.112  0.02
O  0.741  0.351  0.671  0.02
O  0.772  0.153  0.346  0.00
O  0.910  0.588  0.424  0.01
O  0.901  0.815  0.363  0.01
O  0.834  0.512  0.095  0.02
O  0.904  0.295  0.168  0.01
O  0.967  0.869  0.110  -0.01

Total moment (μB/f.u.): 2.93
Calculated volume (Å³/atom): 10.23



The most stable arrangement is A, and the next structure is 16 meV/atom less stable.